# PBEsol GdTiCdSbO7, optimized geometry
# Electronic total energy in eV per atom: -8.31
# Uncorrected formation energy in eV per formula unit: -26.1
# DOS(E_F) in states/eV per cell: 0.0
# Calculated density in g/cm3: 6.81
data_GdTiCdSbO7
_symmetry_space_group_name_H-M 'I m m a'
_symmetry_Int_Tables_number 74
_symmetry_space_group_name_Hall '-I 2b 2'
_cell_length_a 7.1476
_cell_length_b 7.3881
_cell_length_c 10.1832
_cell_angle_alpha 90.00
_cell_angle_beta 90.00
_cell_angle_gamma 90.00
loop_
_atom_site_label
_atom_site_fract_x
_atom_site_fract_y
_atom_site_fract_z
Gd1 0.0000 0.0000 0.0000
Ti1 0.2500 0.2500 0.2500
Cd1 0.2500 0.2500 0.7500
Sb1 0.0000 0.0000 0.5000
O1 0.0000 0.2500 0.1769
O2 0.0000 0.2500 0.5805
O3 0.0000 0.2500 0.8749
O4 0.2054 0.0567 0.3778